# 1
# AcEuAgAu

An optimized crystal structure of AcEuAgAu (PBE, Alexandria).

Lattice parameters (Å, degrees): 5.456 5.456 5.456 60.00 60.00 60.00
Positions (direct):
Ac 0.000 0.000 0.000
Eu 0.500 0.500 0.500
Ag 0.750 0.750 0.750
Au 0.250 0.250 0.250

- Energy of formation from the pure elements: -2.14 eV per formula unit


# 2
# Zr2CdTc

An optimized crystal structure of Zr2CdTc (PBE, Alexandria).

Lattice parameters (Å, degrees): 3.342 3.342 7.207 90.00 90.00 90.00
Positions (direct):
Zr 0.000 0.000 0.218
Zr 0.000 0.000 0.782
Cd 0.500 0.500 0.500
Tc 0.500 0.500 0.000

- Energy of formation from the pure elements: -1.10 eV per formula unit


# 3
# Mg2CuPb4

An optimized crystal structure of Mg2CuPb4 (PBE, Alexandria).

Lattice parameters (Å, degrees): 8.319 8.319 8.319 142.48 142.48 54.10
Positions (direct):
Mg 0.119 0.119 0.000
Mg 0.881 0.881 0.000
Cu 0.500 0.500 0.000
Pb 0.000 0.500 0.500
Pb 0.319 0.319 0.000
Pb 0.500 0.000 0.500
Pb 0.681 0.681 0.000

- Energy of formation from the pure elements: 1.74 eV per formula unit